A plane-wave DFT calculation with PBE+U was carried out for an optimized crystal structure of Zr2MoO.

For the density of states at the Fermi level, the calculation gives 0.24 states/eV/atom. The total energy comes out at -0.5756 Ry per atom.

The space group is R-3m (No. 166, hexagonal axes) and the conventional cell measures 2.9778, 2.9778 and 26.1313 Å, with angles of 90.00, 90.00 and 120.00 degrees. The asymmetric unit holds Zr at (0.0000, 0.0000, 0.1062), Mo at (0.0000, 0.0000, 0.0000) and O at (0.0000, 0.0000, 0.5000).